A relaxed CaTlCd3 crystal, computed with GGA-PBE.

a b c (Å): 5.572 5.572 5.572
angles (deg): 90.00 90.00 90.00
Atoms (fractional coordinates):
Ca1 0.000 0.000 0.000
Tl1 0.500 0.500 0.500
Cd1 0.000 0.500 0.500
Cd2 0.500 0.000 0.500
Cd3 0.500 0.500 0.000

Computed properties:
Offset from the most stable computed form in meV/atom: 161.8
Calculated volume in Å³ per atom: 34.6
Calculated total energy in eV/atom: -1.1700
ΔE_f in eV/f.u.: 1.26
Space group: Pm-3m, No. 221

---

A relaxed CsSnSCl2 crystal, computed with GGA-PBE.

a b c (Å): 6.010 6.010 5.537
angles (deg): 90.00 90.00 90.00
Atoms (fractional coordinates):
Cs1 0.000 0.000 0.000
Sn1 0.500 0.500 0.500
S1 0.000 0.000 0.500
Cl1 0.000 0.500 0.000
Cl2 0.500 0.000 0.000

Computed properties:
Offset from the most stable computed form in meV/atom: 1189.7
Calculated volume in Å³ per atom: 40.0
Energy relative to the elements, uncorrected in eV per atom: 0.09
Calculated total energy in eV/atom: -2.4452
Space group: P4/mmm, No. 123

---

A relaxed Mg6RhAu12 crystal, computed with GGA-PBE.

a b c (Å): 7.026 7.026 7.026
angles (deg): 91.15 91.15 91.15
Atoms (fractional coordinates):
Mg1 0.218 0.762 0.384
Mg2 0.238 0.616 0.782
Mg3 0.384 0.218 0.762
Mg4 0.616 0.782 0.238
Mg5 0.762 0.384 0.218
Mg6 0.782 0.238 0.616
Rh1 0.500 0.500 0.500
Au1 0.037 0.300 0.936
Au2 0.064 0.963 0.700
Au3 0.134 0.352 0.467
Au4 0.300 0.936 0.037
Au5 0.352 0.467 0.134
Au6 0.467 0.134 0.352
Au7 0.533 0.866 0.648
Au8 0.648 0.533 0.866
Au9 0.700 0.064 0.963
Au10 0.866 0.648 0.533
Au11 0.936 0.037 0.300
Au12 0.963 0.700 0.064

Computed properties:
Calculated volume in Å³ per atom: 18.2
Calculated total energy in eV/atom: -3.3643
ΔE_f in eV/f.u.: -7.67
Space group: R-3, No. 148

---

A relaxed Sm2InSn crystal, computed with GGA-PBE.

a b c (Å): 4.016 4.016 6.963
angles (deg): 90.00 90.00 90.00
Atoms (fractional coordinates):
Sm1 0.000 0.000 0.245
Sm2 0.000 0.000 0.755
In1 0.500 0.500 0.500
Sn1 0.500 0.500 0.000

Computed properties:
Calculated volume in Å³ per atom: 28.1
Calculated total energy in eV/atom: -4.5992
ΔE_f in eV/f.u.: -2.22
Space group: P4/mmm, No. 123

---

A relaxed Pm2AgIr crystal, computed with GGA-PBE.

a b c (Å): 3.579 3.579 7.494
angles (deg): 90.00 90.00 90.00
Atoms (fractional coordinates):
Pm1 0.000 0.000 0.225
Pm2 0.000 0.000 0.775
Ag1 0.500 0.500 0.500
Ir1 0.500 0.500 0.000

Computed properties:
Offset from the most stable computed form in meV/atom: 0.0
Calculated volume in Å³ per atom: 24.0
Calculated total energy in eV/atom: -5.7820
ΔE_f in eV/f.u.: -1.91
Space group: P4/mmm, No. 123

---

A relaxed InAg2SbSe4 crystal, computed with GGA-PBE.

a b c (Å): 7.070 7.070 7.070
angles (deg): 132.47 132.47 69.48
Atoms (fractional coordinates):
In1 0.000 0.000 0.000
Ag1 0.250 0.750 0.500
Ag2 0.500 0.500 0.000
Sb1 0.750 0.250 0.500
Se1 0.244 0.244 0.000
Se2 0.502 0.002 0.500
Se3 0.756 0.756 0.000
Se4 0.998 0.498 0.500

Computed properties:
Offset from the most stable computed form in meV/atom: 0.0
Calculated volume in Å³ per atom: 23.6
Energy relative to the elements, uncorrected in eV per atom: -0.24
Calculated total energy in eV/atom: -3.5508
Space group: I-4m2, No. 119

---

A relaxed Eu2InN crystal, computed with GGA-PBE.

a b c (Å): 3.211 3.211 8.447
angles (deg): 90.00 90.00 90.00
Atoms (fractional coordinates):
Eu1 0.000 0.000 0.168
Eu2 0.000 0.000 0.832
In1 0.500 0.500 0.500
N1 0.500 0.500 0.000

Computed properties:
Calculated volume in Å³ per atom: 21.8
Energy relative to the elements, uncorrected in eV per atom: -0.44
Calculated total energy in eV/atom: -8.3463
Space group: P4/mmm, No. 123

---

A relaxed LaEr2Al2Zn2 crystal, computed with GGA-PBE.

a b c (Å): 9.669 9.669 9.669
angles (deg): 27.20 27.20 27.20
Atoms (fractional coordinates):
La1 0.000 0.000 0.000
Er1 0.130 0.130 0.130
Er2 0.870 0.870 0.870
Al1 0.256 0.256 0.256
Al2 0.744 0.744 0.744
Zn1 0.409 0.409 0.409
Zn2 0.591 0.591 0.591

Computed properties:
Calculated volume in Å³ per atom: 23.8
Calculated total energy in eV/atom: -3.7542
ΔE_f in eV/f.u.: -2.19
Space group: R-3m, No. 166

---

A relaxed KTa2Hg crystal, computed with GGA-PBE.

a b c (Å): 2.748 5.686 5.862
angles (deg): 90.00 90.00 90.00
Atoms (fractional coordinates):
K1 0.000 0.000 0.000
Ta1 0.500 0.500 0.257
Ta2 0.500 0.500 0.743
Hg1 0.000 0.000 0.500

Computed properties:
Calculated volume in Å³ per atom: 22.9
Calculated total energy in eV/atom: -5.0712
ΔE_f in eV/f.u.: 4.82
Space group: Pmmm, No. 47

---

A relaxed DyEr2Hg4 crystal, computed with GGA-PBE.

a b c (Å): 8.591 8.591 8.591
angles (deg): 141.94 141.94 54.92
Atoms (fractional coordinates):
Dy1 0.000 0.000 0.000
Er1 0.399 0.399 0.000
Er2 0.601 0.601 0.000
Hg1 0.000 0.500 0.500
Hg2 0.200 0.200 0.000
Hg3 0.500 0.000 0.500
Hg4 0.800 0.800 0.000

Computed properties:
Offset from the most stable computed form in meV/atom: 391.6
Calculated volume in Å³ per atom: 34.2
Calculated total energy in eV/atom: -2.0726
ΔE_f in eV/f.u.: 0.43
Space group: I4/mmm, No. 139

---

A relaxed PrHo2UAs4 crystal, computed with GGA-PBE.

a b c (Å): 7.180 4.135 7.185
angles (deg): 90.00 109.20 90.00
Atoms (fractional coordinates):
Pr1 0.000 0.000 0.000
Ho1 0.500 0.000 0.500
Ho2 0.500 0.500 0.000
U1 0.000 0.500 0.500
As1 0.253 0.000 0.744
As2 0.256 0.500 0.262
As3 0.744 0.500 0.738
As4 0.747 0.000 0.256

Computed properties:
Calculated volume in Å³ per atom: 25.2
Calculated total energy in eV/atom: -6.7829
ΔE_f in eV/f.u.: -10.44
Space group: P2/m, No. 10

---

A relaxed GdDyLuCd crystal, computed with GGA-PBE.

a b c (Å): 5.421 5.421 5.421
angles (deg): 60.00 60.00 60.00
Atoms (fractional coordinates):
Gd1 0.000 0.000 0.000
Dy1 0.500 0.500 0.500
Lu1 0.750 0.750 0.750
Cd1 0.250 0.250 0.250

Computed properties:
Calculated volume in Å³ per atom: 28.2
Calculated total energy in eV/atom: -6.0783
ΔE_f in eV/f.u.: -0.19
Space group: F-43m, No. 216

---

A relaxed TiC3N crystal, computed with GGA-PBE.

a b c (Å): 3.459 3.459 3.459
angles (deg): 90.00 90.00 90.00
Atoms (fractional coordinates):
Ti1 0.000 0.000 0.000
C1 0.000 0.500 0.500
C2 0.500 0.000 0.500
C3 0.500 0.500 0.000
N1 0.500 0.500 0.500

Computed properties:
Offset from the most stable computed form in meV/atom: 0.0
Calculated volume in Å³ per atom: 8.3
Energy relative to the elements, uncorrected in eV per atom: 2.48
Calculated total energy in eV/atom: -6.3025
Space group: Pm-3m, No. 221

---

A relaxed SiRuBr2 crystal, computed with GGA-PBE.

a b c (Å): 3.371 3.371 9.502
angles (deg): 90.00 90.00 122.03
Atoms (fractional coordinates):
Si1 0.000 0.000 0.000
Ru1 0.500 0.500 0.829
Br1 0.000 0.000 0.611
Br2 0.500 0.500 0.211

Computed properties:
Offset from the most stable computed form in meV/atom: 376.4
Calculated volume in Å³ per atom: 22.9
Energy relative to the elements, uncorrected in eV per atom: 0.29
Calculated total energy in eV/atom: -4.2210
Space group: Cmm2, No. 35

---

A relaxed CeBPd3 crystal, computed with GGA-PBE.

a b c (Å): 4.376 4.376 4.376
angles (deg): 90.00 90.00 90.00
Atoms (fractional coordinates):
Ce1 0.000 0.000 0.000
B1 0.500 0.500 0.500
Pd1 0.000 0.500 0.500
Pd2 0.500 0.000 0.500
Pd3 0.500 0.500 0.000

Computed properties:
Calculated volume in Å³ per atom: 16.8
Calculated total energy in eV/atom: -6.1249
ΔE_f in eV/f.u.: -2.43
Space group: Pm-3m, No. 221

---

A relaxed CsPPt crystal, computed with GGA-PBE.

a b c (Å): 4.027 4.027 5.987
angles (deg): 90.00 90.00 120.00
Atoms (fractional coordinates):
Cs1 0.000 0.000 0.000
P1 0.667 0.333 0.500
Pt1 0.333 0.667 0.500

Computed properties:
Calculated volume in Å³ per atom: 28.0
Calculated total energy in eV/atom: -4.5545
ΔE_f in eV/f.u.: -1.36
Space group: P-6m2, No. 187

---

A relaxed NaBi2Pb crystal, computed with GGA-PBE.

a b c (Å): 11.654 11.654 11.654
angles (deg): 17.41 17.41 17.41
Atoms (fractional coordinates):
Na1 0.000 0.000 0.000
Bi1 0.254 0.254 0.254
Bi2 0.746 0.746 0.746
Pb1 0.500 0.500 0.500

Computed properties:
Calculated volume in Å³ per atom: 30.9
Calculated total energy in eV/atom: -3.2455
ΔE_f in eV/f.u.: -0.19
Space group: R-3m, No. 166

---

A relaxed PRhIO2 crystal, computed with GGA-PBE.

a b c (Å): 3.786 3.786 8.097
angles (deg): 90.00 90.00 90.00
Atoms (fractional coordinates):
P1 0.000 0.000 0.000
Rh1 0.500 0.500 0.500
I1 0.500 0.500 0.000
O1 0.000 0.500 0.500
O2 0.500 0.000 0.500

Computed properties:
Offset from the most stable computed form in meV/atom: 258.0
Calculated volume in Å³ per atom: 23.2
Energy relative to the elements, uncorrected in eV per atom: 0.21
Calculated total energy in eV/atom: -4.6386
Space group: P4/mmm, No. 123

---

A relaxed Ac2NdAg6 crystal, computed with GGA-PBE.

a b c (Å): 8.392 8.392 3.882
angles (deg): 90.00 90.00 120.00
Atoms (fractional coordinates):
Ac1 0.333 0.667 0.000
Ac2 0.667 0.333 0.000
Nd1 0.000 0.000 0.000
Ag1 0.000 0.330 0.500
Ag2 0.000 0.670 0.500
Ag3 0.330 0.000 0.500
Ag4 0.330 0.330 0.500
Ag5 0.670 0.000 0.500
Ag6 0.670 0.670 0.500

Computed properties:
Offset from the most stable computed form in meV/atom: 0.0
Calculated volume in Å³ per atom: 26.3
Calculated total energy in eV/atom: -3.6179
ΔE_f in eV/f.u.: -2.47
Space group: P6/mmm, No. 191

---

A relaxed Na7AgHg2 crystal, computed with GGA-PBE.

a b c (Å): 5.255 5.255 12.773
angles (deg): 90.00 90.00 120.00
Atoms (fractional coordinates):
Na1 0.000 0.000 0.000
Na2 0.000 0.000 0.253
Na3 0.000 0.000 0.733
Na4 0.333 0.667 0.396
Na5 0.333 0.667 0.886
Na6 0.667 0.333 0.122
Na7 0.667 0.333 0.580
Ag1 0.333 0.667 0.140
Hg1 0.000 0.000 0.492
Hg2 0.667 0.333 0.847

Computed properties:
Calculated volume in Å³ per atom: 30.5
Calculated total energy in eV/atom: -1.3551
ΔE_f in eV/f.u.: -0.86
Space group: P3m1, No. 156